(1)
{
  "formula": "KSm2HoSe4",
  "functional": "PBE",
  "state": "relaxed",
  "formation_energy_uncorrected_mev_per_atom": -1712,
  "lattice": [[7.338, 0.000, 0.000], [0.000, 4.162, 0.000], [-2.341, 0.000, 6.985]],
  "species": ["K", "Sm", "Sm", "Ho", "Se", "Se", "Se", "Se"],
  "frac_coords": [[0.000, 0.000, 0.000], [0.500, 0.000, 0.500], [0.500, 0.500, 0.000], [0.000, 0.500, 0.500], [0.247, 0.000, 0.738], [0.260, 0.500, 0.267], [0.740, 0.500, 0.733], [0.753, 0.000, 0.262]]
}



(2)
{
  "formula": "Ba2TiTcNi",
  "functional": "PBE",
  "state": "relaxed",
  "e_form_mev_per_atom": 1232,
  "lattice": [[5.915, 0.000, 0.000], [0.000, 5.915, 0.000], [0.000, 0.000, 4.458]],
  "species": ["Ba", "Ba", "Ti", "Tc", "Ni"],
  "frac_coords": [[0.000, 0.500, 0.000], [0.500, 0.000, 0.000], [0.000, 0.000, 0.500], [0.500, 0.500, 0.000], [0.500, 0.500, 0.500]]
}



(3)
{
  "formula": "Nd8Tl2Bi",
  "functional": "PBE",
  "state": "relaxed",
  "e_form_mev_per_atom": -237,
  "lattice": [[10.005, -2.650, 0.000], [10.005, 2.650, 0.000], [-1.430, 0.000, 7.020]],
  "species": ["Nd", "Nd", "Nd", "Nd", "Nd", "Nd", "Nd", "Nd", "Tl", "Tl", "Bi"],
  "frac_coords": [[0.024, 0.024, 0.256], [0.207, 0.207, 0.825], [0.340, 0.340, 0.511], [0.409, 0.409, 0.035], [0.591, 0.591, 0.965], [0.660, 0.660, 0.489], [0.793, 0.793, 0.175], [0.976, 0.976, 0.744], [0.186, 0.186, 0.258], [0.814, 0.814, 0.742], [0.500, 0.500, 0.500]]
}